# LaRe2Hg

An optimized crystal structure of LaRe2Hg (GGA-PBE, the Alexandria database).

Values from the calculation:
E_form: 0.90 eV per atom
Excess energy over the best structure of this formula in the dataset: 2.88 eV per formula unit
Raw total energy: -26.540 eV/f.u.
SG: P4/mmm (123)

Lattice parameters (Å, degrees): 3.631 3.631 6.592 90.00 90.00 90.00
Fractional coordinates of all 4 atoms:
La: 0.000 0.000 0.000
Re: 0.500 0.500 0.316
Re: 0.500 0.500 0.684
Hg: 0.000 0.000 0.500